Computed, not measured: a relaxed structure of HfSi2Ir2 at the PBE level of DFT.

It has space group P4/mbm (No. 127), with a = 7.285 Å, b = 7.285 Å, c = 2.793 Å, α = 90.00°, β = 90.00° and γ = 90.00°. Symmetry generates all atoms from Hf at (0.000, 0.000, 0.000), Si at (0.148, 0.352, 0.000) and Ir at (0.147, 0.647, 0.500).

The total magnetization comes out at 0.00 μB per formula unit. The total energy comes out at -8.301 eV/atom.